Y3SnGe | GGA-PBEsol | relaxed

Lattice parameters (Å, degrees): 5.539 5.539 5.539 90.00 90.00 90.00
Positions (direct):
1 Y 0.000 0.000 0.500
2 Y 0.000 0.500 0.000
3 Y 0.500 0.000 0.000
4 Sn 0.000 0.000 0.000
5 Ge 0.500 0.500 0.500

Calculated values
As for the formation energy: 165 meV per atom. The calculation puts the electronic total energy at -5.7681 eV/atom. As for the space-group type: No. 221.

***

YSnGe | GGA-PBEsol | relaxed

Lattice parameters (Å, degrees): 8.313 8.313 4.020 90.00 90.00 150.46
Positions (direct):
1 Y 0.095 0.905 0.750
2 Y 0.905 0.095 0.250
3 Sn 0.255 0.745 0.250
4 Sn 0.745 0.255 0.750
5 Ge 0.447 0.553 0.750
6 Ge 0.553 0.447 0.250

Calculated values
As for the formation energy: -715 meV per atom. The calculation puts the electronic total energy at -6.0556 eV/atom. As for the space-group type: No. 63.

***

ZnSnGe3 | GGA-PBEsol | relaxed

Lattice parameters (Å, degrees): 5.227 5.227 5.227 90.00 90.00 90.00
Positions (direct):
1 Zn 0.000 0.000 0.000
2 Sn 0.500 0.500 0.500
3 Ge 0.000 0.500 0.500
4 Ge 0.500 0.000 0.500
5 Ge 0.500 0.500 0.000

Calculated values
As for the formation energy: 1066 meV per atom. The calculation puts the electronic total energy at -3.0659 eV/atom. As for the space-group type: No. 221.